i.
DFT (PBE) results for a relaxed SrRePCl2 crystal.

Cell and atoms, written as POSCAR:
```
SrRePCl2
1.0
5.000 0.000 0.000
0.000 5.000 0.000
0.000 0.000 4.617
Sr Cl P Re
1 2 1 1
Direct
0.500 0.500 0.500
0.500 0.000 0.000
0.000 0.500 0.000
0.000 0.000 0.500
0.000 0.000 0.000
```

Calculated values
Calculated volume = 115.4 Å³/cell
Crystal system = tetragonal

ii.
DFT (PBE) results for a relaxed SrRePCl2 crystal.

Cell and atoms, written as POSCAR:
```
SrRePCl2
1.0
5.382 0.000 0.000
0.000 5.382 0.000
0.000 0.000 6.209
Sr Cl Re P
1 2 1 1
Direct
0.000 0.000 0.000
0.000 0.500 0.000
0.500 0.000 0.000
0.500 0.500 0.500
0.000 0.000 0.500
```

Calculated values
Calculated volume = 179.9 Å³/cell
Crystal system = tetragonal

Stability summary: most stable i, least stable ii.

i.
DFT (PBE) results for a relaxed ReTcP2Cl crystal.

Cell and atoms, written as POSCAR:
```
ReTcP2Cl
1.0
-2.962 0.881 3.355
-3.440 -1.313 -2.692
0.499 -4.786 1.698
P Cl Re Tc
2 1 1 1
Direct
0.000 0.500 0.000
0.500 0.000 0.000
0.000 0.000 0.500
0.000 0.000 0.000
0.500 0.500 0.500
```

Calculated values
Calculated volume = 106.2 Å³/cell
Crystal system = tetragonal

ii.
DFT (PBE) results for a relaxed ReTcP2Cl crystal.

Cell and atoms, written as POSCAR:
```
ReTcP2Cl
1.0
-2.079 4.077 -0.052
-1.353 -0.745 -4.308
-4.115 -2.078 1.652
Re Tc Cl P
1 1 1 2
Direct
0.500 0.500 0.500
0.000 0.000 0.000
0.000 0.000 0.500
0.000 0.500 0.000
0.500 0.000 0.000
```

Calculated values
Calculated volume = 102.6 Å³/cell
Crystal system = tetragonal

Stability summary: most stable i, least stable ii.

i.
DFT (PBE) results for a relaxed TiRePCl2 crystal.

Cell and atoms, written as POSCAR:
```
TiRePCl2
1.0
-4.353 -1.407 0.054
1.302 -4.090 -1.584
0.613 -1.707 4.911
Cl Ti Re P
2 1 1 1
Direct
0.500 0.000 0.000
0.000 0.500 0.000
0.000 0.000 0.000
0.500 0.500 0.500
0.000 0.000 0.500
```

Calculated values
Calculated volume = 109.6 Å³/cell
Crystal system = tetragonal

ii.
DFT (PBE) results for a relaxed TiRePCl2 crystal.

Cell and atoms, written as POSCAR:
```
TiRePCl2
1.0
4.802 0.000 0.000
0.000 4.802 0.000
0.000 0.000 4.626
Re P Cl Ti
1 1 2 1
Direct
0.000 0.000 0.000
0.000 0.000 0.500
0.000 0.500 0.000
0.500 0.000 0.000
0.500 0.500 0.500
```

Calculated values
Calculated volume = 106.6 Å³/cell
Crystal system = tetragonal

Stability summary: most stable i, least stable ii.